DFT (PBE) results for CsSrFe3 after structural relaxation.

Unit cell a=5.7460 b=5.7460 c=5.7460 alpha=90.00 beta=90.00 gamma=90.00
Last column: nearest neighbours and their distance in Å.
Fractional positions:
Cs (0.5000, 0.5000, 0.5000)  12 Fe 4.06
Sr (0.0000, 0.0000, 0.0000)  6 Fe 2.87
Fe (0.0000, 0.5000, 0.0000)  2 Sr 2.87
Fe (0.0000, 0.0000, 0.5000)  2 Sr 2.87
Fe (0.5000, 0.0000, 0.0000)  2 Sr 2.87

Formation energy ... 183 kJ per mole of atoms
Space-group type ... Pm-3m, No. 221
Offset from the most stable computed form ... 0 meV/atom
ρ ... 3397 kg/m³
Total magnetic moment ... 9.01 Bohr magnetons per cell